SrSc2NiMo (PBE-GGA, relaxed); Fermi-level density of states = 7.2 states/eV per cell; E = -0.2110 Ha/atom; size of the total moment = 0.000 μB per formula unit; E_form = 449 meV/atom
1.0
5.0936 0.0000 0.0000
0.0000 5.0936 0.0000
0.0000 0.0000 4.8150
Sr Sc Ni Mo
1 2 1 1
Cartesian
0.0000 0.0000 0.0000 Sr
0.0000 2.5468 2.4075 Sc
2.5468 0.0000 2.4075 Sc
2.5468 2.5468 0.0000 Ni
2.5468 2.5468 2.4075 Mo